RbLiTaNi2, relaxed, DFT GGA-PBE; DFT total energy = -18.48 eV per cell; crystal system = tetragonal; DFT formation energy = 1.563 eV/atom; magnetization = 0.49 μB per atom; D(E_F) = 1.24 states/eV/atom
1.0
4.5412 0.0000 0.0000
0.0000 4.5412 0.0000
0.0000 0.0000 4.6133
Rb Li Ta Ni
1 1 1 2
direct
0.0000 0.0000 0.0000 Rb
0.5000 0.5000 0.5000 Li
0.5000 0.5000 0.0000 Ta
0.0000 0.5000 0.5000 Ni
0.5000 0.0000 0.5000 Ni

=====

LiRe2Ni, relaxed, DFT GGA-PBE; DFT total energy = -31.74 eV per cell; polymorph energy (0 for the lowest one) = 88 meV per atom; crystal system = orthorhombic; DFT formation energy = 0.213 eV/atom; magnetization = 0.00 μB per atom; D(E_F) = 0.85 states/eV/atom
1.0
1.4822 -2.1786 0.0000
1.4822 2.1786 0.0000
0.0000 0.0000 8.7212
Li Re Ni
1 2 1
direct
0.0000 0.0000 0.0000 Li
0.0000 0.0000 0.4744 Re
0.5000 0.5000 0.7306 Re
0.5000 0.5000 0.2398 Ni

=====

LiReNi, relaxed, DFT GGA-PBE; DFT total energy = -39.31 eV per cell; polymorph energy (0 for the lowest one) = 111 meV per atom; crystal system = orthorhombic; DFT formation energy = 0.162 eV/atom; magnetization = 0.00 μB per atom; D(E_F) = 0.69 states/eV/atom
1.0
4.1973 0.0000 0.0000
0.0000 2.0762 4.3309
0.0000 -2.0762 4.3309
Li Re Ni
2 2 2
direct
0.0000 0.0000 0.0000 Li
0.5000 0.1531 0.1531 Li
0.5000 0.4798 0.4798 Re
0.5000 0.8163 0.8163 Re
0.0000 0.3325 0.3325 Ni
0.0000 0.6484 0.6484 Ni

=====

LiReNi, relaxed, DFT GGA-PBE; DFT total energy = -39.75 eV per cell; polymorph energy (0 for the lowest one) = 39 meV per atom; crystal system = orthorhombic; DFT formation energy = 0.090 eV/atom; magnetization = 0.00 μB per atom; D(E_F) = 0.77 states/eV/atom
1.0
-2.2245 2.3734 3.2716
2.2245 -2.3734 3.2716
2.2245 2.3734 -3.2716
Li Re Ni
2 2 2
direct
0.5000 0.0000 0.0000 Li
0.5000 0.5000 0.5000 Li
0.1213 0.3713 0.7500 Re
0.8787 0.6287 0.2500 Re
0.0000 0.0000 0.0000 Ni
0.5000 0.0000 0.5000 Ni

=====

LiReNi, relaxed, DFT GGA-PBE; DFT total energy = -19.03 eV per cell; polymorph energy (0 for the lowest one) = 320 meV per atom; crystal system = hexagonal; DFT formation energy = 0.371 eV/atom; magnetization = 0.00 μB per atom; D(E_F) = 0.83 states/eV/atom
1.0
4.2583 0.0000 0.0000
-2.1291 3.6878 0.0000
0.0000 0.0000 2.5041
Li Re Ni
1 1 1
direct
0.0000 0.0000 0.0000 Li
0.3333 0.6667 0.5000 Re
0.6667 0.3333 0.5000 Ni

=====

LiReNi, relaxed, DFT GGA-PBE; DFT total energy = -39.74 eV per cell; polymorph energy (0 for the lowest one) = 40 meV per atom; crystal system = monoclinic; DFT formation energy = 0.091 eV/atom; magnetization = 0.00 μB per atom; D(E_F) = 0.45 states/eV/atom
1.0
4.0385 -1.8420 0.0000
4.0385 1.8420 0.0000
-1.5549 0.0000 5.0254
Li Re Ni
2 2 2
direct
0.0070 0.0070 0.2818 Li
0.9930 0.9930 0.7182 Li
0.3267 0.3267 0.9109 Re
0.6733 0.6733 0.0891 Re
0.3226 0.3226 0.4153 Ni
0.6774 0.6774 0.5847 Ni

=====

LiRe2Ni, relaxed, DFT GGA-PBE; DFT total energy = -31.48 eV per cell; polymorph energy (0 for the lowest one) = 152 meV per atom; crystal system = tetragonal; DFT formation energy = 0.277 eV/atom; magnetization = 0.00 μB per atom; D(E_F) = 0.52 states/eV/atom
1.0
3.5983 0.0000 0.0000
0.0000 3.5983 0.0000
0.0000 0.0000 4.1020
Li Re Ni
1 2 1
direct
0.0000 0.0000 0.0000 Li
0.0000 0.5000 0.5000 Re
0.5000 0.0000 0.5000 Re
0.5000 0.5000 0.0000 Ni

=====

LiRe2Ni, relaxed, DFT GGA-PBE; DFT total energy = -31.58 eV per cell; polymorph energy (0 for the lowest one) = 128 meV per atom; crystal system = tetragonal; DFT formation energy = 0.252 eV/atom; magnetization = 0.00 μB per atom; D(E_F) = 0.95 states/eV/atom
1.0
2.6400 0.0000 0.0000
0.0000 2.6400 0.0000
0.0000 0.0000 7.9153
Li Re Ni
1 2 1
direct
0.0000 0.0000 0.0000 Li
0.0000 0.0000 0.4528 Re
0.5000 0.5000 0.7272 Re
0.5000 0.5000 0.2358 Ni

=====

Q: Among the records above, which one has the highest DFT total energy?
A: RbLiTaNi2

=====

Q: Which of these has the highest magnetization?
A: RbLiTaNi2